No. 1
Ca2PRu: single point on PBEsol structure, meta-GGA SCAN.

VASP energy in eV/atom: -16.779
Energy relative to the elements in eV per atom: -0.64

abc: 4.0114 4.4062 10.0212
angles: 90.00 90.00 90.00
Space group Amm2 (No. 38)
Symmetry-distinct sites (fractional):
Ca1 0.0000 0.0000 0.0000 [2 per cell]
Ca2 0.5000 0.0000 0.2886 [2 per cell]
P1 0.0000 0.0000 0.6976 [2 per cell]
Ru1 0.5000 0.0000 0.5957 [2 per cell]

No. 2
AsIrAu2: single point on PBEsol structure, meta-GGA SCAN.

VASP energy in eV/atom: -57.019
Energy relative to the elements in eV per atom: 0.38

abc: 2.9136 4.5819 4.8914
angles: 90.00 90.00 90.00
Space group Pmmm (No. 47)
Symmetry-distinct sites (fractional):
As1 0.0000 0.0000 0.0000 [1 per cell]
Ir1 0.5000 0.5000 0.0000 [1 per cell]
Au1 0.0000 0.5000 0.5000 [1 per cell]
Au2 0.5000 0.0000 0.5000 [1 per cell]

No. 3
TaTiC2: single point on PBEsol structure, meta-GGA SCAN.

VASP energy in eV/atom: -26.538
Energy relative to the elements in eV per atom: -0.83

abc: 3.0965 3.0965 15.1291
angles: 90.00 90.00 120.00
Space group R-3m (No. 166, hexagonal axes)
Symmetry-distinct sites (fractional):
Ta1 0.0000 0.0000 0.0000 [3 per cell]
Ti1 0.0000 0.0000 0.5000 [3 per cell]
C1 0.0000 0.0000 0.2485 [6 per cell]